# FeRu3F (PBE+U, optimized geometry)
data_FeRu3F
_chemical_formula_sum 'Fe1 Ru3 F1'
_cell_length_a 4.4417
_cell_length_b 4.4417
_cell_length_c 4.4417
_cell_angle_alpha 90.00
_cell_angle_beta 90.00
_cell_angle_gamma 90.00
_space_group_name_H-M_alt 'P m -3 m'
_space_group_IT_number 221
_space_group_name_Hall '-P 4 2 3'
loop_
_atom_site_label
_atom_site_type_symbol
_atom_site_fract_x
_atom_site_fract_y
_atom_site_fract_z
Fe1 Fe 0.0000 0.0000 0.0000
Ru1 Ru 0.0000 0.0000 0.5000
F1 F 0.5000 0.5000 0.5000
# - DOS(E_F) (states/eV/cell) = 7.5
# - E above lowest polymorph (kcal/mol of atoms) = 22.369